(1)
# KSb2Au, optimized geometry, DFT PBE
# Crystal system ... trigonal
# Formation energy (no corrections) ... -145 meV/atom
data_KSb2Au
_cell_length_a 4.6211
_cell_length_b 4.6211
_cell_length_c 21.7393
_cell_angle_alpha 90.00
_cell_angle_beta 90.00
_cell_angle_gamma 120.00
_space_group_name_H-M_alt 'R 3 m'
_space_group_IT_number 160
_space_group_name_Hall 'R 3 -2"'
loop_
_atom_site_label
_atom_site_fract_x
_atom_site_fract_y
_atom_site_fract_z
K1 0.0000 0.0000 0.0000
Sb1 0.0000 0.0000 0.2142
Sb2 0.0000 0.0000 0.4803
Au1 0.0000 0.0000 0.7637



(2)
# KSb2Au, optimized geometry, DFT PBE
# Crystal system ... monoclinic
# Formation energy (no corrections) ... -218 meV/atom
data_KSb2Au
_cell_length_a 3.440
_cell_length_b 4.511
_cell_length_c 7.487
_cell_angle_alpha 90.00
_cell_angle_beta 90.11
_cell_angle_gamma 90.00
_space_group_name_H-M_alt 'P 1 2/m 1'
_space_group_IT_number 10
loop_
_space_group_symop_operation_xyz
'x,y,z'
'-x,-y,-z'
'-x,y,-z'
'x,-y,z'
loop_
_atom_site_label
_atom_site_fract_x
_atom_site_fract_y
_atom_site_fract_z
K1 0.000 0.000 0.000
Sb1 0.500 0.500 0.289
Au1 0.500 0.000 0.500



(3)
# K3Sb2Au3, optimized geometry, DFT PBE
# Crystal system ... trigonal
# Formation energy (no corrections) ... -472 meV/atom
data_K3Sb2Au3
_cell_length_a 6.3377
_cell_length_b 6.3377
_cell_length_c 21.7121
_cell_angle_alpha 90.00
_cell_angle_beta 90.00
_cell_angle_gamma 120.00
_space_group_name_H-M_alt 'R -3 m'
_space_group_IT_number 166
_space_group_name_Hall '-R 3 2"'
loop_
_atom_site_label
_atom_site_fract_x
_atom_site_fract_y
_atom_site_fract_z
K1 0.0000 0.0000 0.0000
K2 0.0000 0.0000 0.4191
Sb1 0.0000 0.0000 0.2583
Au1 0.0000 0.5000 0.5000



(4)
# KSbAu2, optimized geometry, DFT PBE
# Crystal system ... monoclinic
# Formation energy (no corrections) ... -4 meV/atom
data_KSbAu2
_cell_length_a 7.854
_cell_length_b 8.803
_cell_length_c 2.975
_cell_angle_alpha 90.00
_cell_angle_beta 104.93
_cell_angle_gamma 90.00
_space_group_name_H-M_alt 'C 1 2/m 1'
_space_group_IT_number 12
loop_
_space_group_symop_operation_xyz
'x,y,z'
'-x,-y,-z'
'-x,y,-z'
'x,-y,z'
'x+1/2,y+1/2,z'
'-x+1/2,-y+1/2,-z'
'-x+1/2,y+1/2,-z'
'x+1/2,-y+1/2,z'
loop_
_atom_site_label
_atom_site_fract_x
_atom_site_fract_y
_atom_site_fract_z
K1 0.000 0.000 0.000
Sb1 0.000 0.500 0.000
Au1 0.250 0.250 0.500



(5)
# KSb2Au, optimized geometry, DFT PBE
# Crystal system ... tetragonal
# Formation energy (no corrections) ... 30 meV/atom
data_KSb2Au
_cell_length_a 4.861
_cell_length_b 4.861
_cell_length_c 9.110
_cell_angle_alpha 90.00
_cell_angle_beta 90.00
_cell_angle_gamma 90.00
_space_group_name_H-M_alt 'I -4 m 2'
_space_group_IT_number 119
_space_group_name_Hall 'I -4 -2'
loop_
_atom_site_label
_atom_site_fract_x
_atom_site_fract_y
_atom_site_fract_z
K1 0.000 0.000 0.000
Sb1 0.000 0.000 0.500
Sb2 0.000 0.500 0.750
Au1 0.000 0.500 0.250



(6)
# KSb2Au, optimized geometry, DFT PBE
# Crystal system ... orthorhombic
# Formation energy (no corrections) ... -58 meV/atom
data_KSb2Au
_cell_length_a 4.335
_cell_length_b 6.075
_cell_length_c 8.948
_cell_angle_alpha 90.00
_cell_angle_beta 90.00
_cell_angle_gamma 90.00
_space_group_name_H-M_alt 'C m m m'
_space_group_IT_number 65
_space_group_name_Hall '-C 2 2'
loop_
_atom_site_label
_atom_site_fract_x
_atom_site_fract_y
_atom_site_fract_z
K1 0.000 0.000 0.000
Sb1 0.000 0.500 0.307
Au1 0.000 0.000 0.500



(7)
# KSb3Au, optimized geometry, DFT PBE
# Crystal system ... cubic
# Formation energy (no corrections) ... 1481 meV/atom
data_KSb3Au
_cell_length_a 5.812
_cell_length_b 5.812
_cell_length_c 5.812
_cell_angle_alpha 90.00
_cell_angle_beta 90.00
_cell_angle_gamma 90.00
_space_group_name_H-M_alt 'P m -3 m'
_space_group_IT_number 221
_space_group_name_Hall '-P 4 2 3'
loop_
_atom_site_label
_atom_site_fract_x
_atom_site_fract_y
_atom_site_fract_z
K1 0.000 0.000 0.000
Sb1 0.000 0.000 0.500
Au1 0.500 0.500 0.500



(8)
# KSbAu2, optimized geometry, DFT PBE
# Crystal system ... tetragonal
# Formation energy (no corrections) ... 65 meV/atom
data_KSbAu2
_cell_length_a 4.524
_cell_length_b 4.524
_cell_length_c 9.313
_cell_angle_alpha 90.00
_cell_angle_beta 90.00
_cell_angle_gamma 90.00
_space_group_name_H-M_alt 'I -4 m 2'
_space_group_IT_number 119
_space_group_name_Hall 'I -4 -2'
loop_
_atom_site_label
_atom_site_fract_x
_atom_site_fract_y
_atom_site_fract_z
K1 0.000 0.000 0.000
Sb1 0.000 0.500 0.750
Au1 0.000 0.000 0.500
Au2 0.000 0.500 0.250